VASP calculation (GGA+U) on an optimized crystal structure of Rb4Ho3MnO8.

Calculated values
Uncorrected energy in eV/atom: -6.3952

a b c (Å): 6.9395 7.6301 6.8278
angles (deg): 116.54 120.54 90.00
Last column: nearest neighbours and their distance in Å.
Fractional coordinates of all 16 atoms:
Rb (0.5000, 0.0000, 0.0000)  6 O 2.88-3.10
Rb (0.5000, 0.0000, 0.5000)  6 O 2.86-2.93
Rb (0.0000, 0.0000, 0.0000)  6 O 2.86-2.90
Rb (0.0000, 0.0000, 0.5000)  6 O 2.86-2.92
Ho (0.5000, 0.5000, 0.0000)  6 O 2.28-2.31
Ho (0.5000, 0.5000, 0.5000)  6 O 2.27-2.35
Ho (0.0000, 0.5000, 0.5000)  6 O 2.27-2.35
Mn (0.0000, 0.5000, 0.0000)  2 O 2.03
O (0.2284, 0.6798, 0.9524)  2 Ho 2.27-2.31, 1 Mn 2.33
O (0.2015, 0.6593, 0.4029)  1 Mn 2.03
O (0.2728, 0.3249, 0.5456)  3 Ho 2.28-2.29
O (0.7240, 0.6798, 0.9524)  2 Ho 2.27-2.31, 1 Mn 2.33
O (0.2760, 0.3202, 0.0476)  2 Ho 2.27-2.31, 1 Mn 2.33
O (0.7272, 0.6751, 0.4544)  3 Ho 2.28-2.29
O (0.7985, 0.3407, 0.5971)  1 Mn 2.03
O (0.7716, 0.3202, 0.0476)  2 Ho 2.27-2.31, 1 Mn 2.33

***

VASP calculation (GGA+U) on an optimized crystal structure of Fe2As2O.

Calculated values
ΔE to the lowest computed polymorph in eV per atom: 0.107

a b c (Å): 6.4625 6.4625 3.9203
angles (deg): 90.00 90.00 90.00
Last column: nearest neighbours and their distance in Å.
Fractional coordinates of all 10 atoms:
As (0.3179, 0.8179, 0.0000)  2 O 2.37, 2 Fe 2.55
As (0.8179, 0.6821, 0.0000)  2 O 2.37, 2 Fe 2.55
As (0.6821, 0.1821, 0.0000)  2 O 2.37, 2 Fe 2.55
As (0.1821, 0.3179, 0.0000)  2 O 2.37, 2 Fe 2.55
Fe (0.1386, 0.6386, 0.5000)  1 Fe 2.53, 2 As 2.55
Fe (0.6386, 0.8614, 0.5000)  1 Fe 2.53, 2 As 2.55
Fe (0.8614, 0.3614, 0.5000)  1 Fe 2.53, 2 As 2.55
Fe (0.3614, 0.1386, 0.5000)  1 Fe 2.53, 2 As 2.55
O (0.0000, 0.0000, 0.0000)  4 As 2.37
O (0.5000, 0.5000, 0.0000)  4 As 2.37